Record 1
Entry from Alexandria via LeMat-Bulk: a crystal of KLaBe relaxed with PBEsol (meta-GGA SCAN).

The formation energy is 0.464 eV/atom. The value obtained for the calculated total energy is -18.13 eV/atom.

The structure belongs to space group I4mm (No. 107); the cell edges are 3.5420, 3.5420 and 15.6564 Å and the angles 90.00°, 90.00° and 90.00°. The inequivalent atoms are K at (0.0000, 0.0000, 0.0000), La at (0.0000, 0.0000, 0.2499) and Be at (0.0000, 0.0000, 0.6539).

Record 2
Entry from Alexandria via LeMat-Bulk: a crystal of MgNO2F relaxed with PBEsol (meta-GGA SCAN).

Its uncorrected formation energy is -0.02 eV/atom. The value obtained for the calculated total energy is -6.07 eV/atom.

The structure belongs to space group P4/mmm (No. 123); the cell edges are 4.1267, 4.1267 and 3.8762 Å and the angles 90.00°, 90.00° and 90.00°. The inequivalent atoms are Mg at (0.0000, 0.0000, 0.0000), N at (0.5000, 0.5000, 0.5000), O at (0.0000, 0.5000, 0.0000) and F at (0.0000, 0.0000, 0.5000).

Record 3
Entry from Alexandria via LeMat-Bulk: a crystal of CaCd2Br relaxed with PBEsol (meta-GGA SCAN).

Its uncorrected formation energy is -0.58 eV/atom. The value obtained for the calculated total energy is -23.07 eV/atom.

The structure belongs to space group Cmmm (No. 65); the cell edges are 5.7130, 9.8750 and 3.8043 Å and the angles 90.00°, 90.00° and 90.00°. The inequivalent atoms are Ca at (0.0000, 0.0000, 0.0000), Cd at (0.2500, 0.2500, 0.5000) and Br at (0.0000, 0.5000, 0.0000).

Record 4
Entry from Alexandria via LeMat-Bulk: a crystal of KScW2 relaxed with PBEsol (meta-GGA SCAN).

The formation energy is 1.313 eV/atom. The value obtained for the calculated total energy is -39.17 eV/atom.

The structure belongs to space group Cmmm (No. 65); the cell edges are 5.3762, 10.5082 and 2.6887 Å and the angles 90.00°, 90.00° and 90.00°. The inequivalent atoms are K at (0.0000, 0.0000, 0.0000), Sc at (0.0000, 0.5000, 0.0000) and W at (0.2500, 0.2500, 0.5000).

Record 5
Entry from Alexandria via LeMat-Bulk: a crystal of ScFeRu2C relaxed with PBEsol (meta-GGA SCAN).

The formation energy is 1.897 eV/atom. The value obtained for the calculated total energy is -20.53 eV/atom.

The structure belongs to space group P4/mmm (No. 123); the cell edges are 4.2329, 4.2329 and 4.6421 Å and the angles 90.00°, 90.00° and 90.00°. The inequivalent atoms are Sc at (0.0000, 0.0000, 0.0000), Fe at (0.0000, 0.0000, 0.5000), Ru at (0.0000, 0.5000, 0.5000) and C at (0.5000, 0.5000, 0.0000).

Record 6
Entry from Alexandria via LeMat-Bulk: a crystal of ReAg2Se relaxed with PBEsol (meta-GGA SCAN).

Its uncorrected formation energy is 0.58 eV/atom. The value obtained for the calculated total energy is -37.90 eV/atom.

The structure belongs to space group R-3m (No. 166, hexagonal axes); the cell edges are 2.8228, 2.8228 and 28.7225 Å and the angles 90.00°, 90.00° and 120.00°. The inequivalent atoms are Re at (0.0000, 0.0000, 0.0000), Ag at (0.0000, 0.0000, 0.2528) and Se at (0.0000, 0.0000, 0.5000).

Record 7
Entry from Alexandria via LeMat-Bulk: a crystal of KLa2Mo relaxed with PBEsol (meta-GGA SCAN).

The formation energy is 0.408 eV/atom. The value obtained for the calculated total energy is -31.95 eV/atom.

The structure belongs to space group P4/mmm (No. 123); the cell edges are 3.5404, 3.5404 and 10.7093 Å and the angles 90.00°, 90.00° and 90.00°. The inequivalent atoms are K at (0.0000, 0.0000, 0.0000), La at (0.5000, 0.5000, 0.3367) and Mo at (0.0000, 0.0000, 0.5000).

Record 8
Entry from Alexandria via LeMat-Bulk: a crystal of Ba2MgHg relaxed with PBEsol (meta-GGA SCAN).

The formation energy is -0.369 eV/atom. The value obtained for the calculated total energy is -38.43 eV/atom.

The structure belongs to space group P4/mmm (No. 123); the cell edges are 4.1758, 4.1758 and 8.4805 Å and the angles 90.00°, 90.00° and 90.00°. The inequivalent atoms are Ba at (0.0000, 0.0000, 0.2324), Mg at (0.5000, 0.5000, 0.5000) and Hg at (0.5000, 0.5000, 0.0000).